1.
The following is a DFT calculation (GGA-PBE) of an optimized crystal structure of InTc2Pb.

As for the calculated volume: 19.8 Å³ per atom. The formation energy is 0.60 eV/atom. The energy above the most stable polymorph in this dataset is 397 meV per atom.

It has space group C2/m (No. 12), with a = 9.383 Å, b = 3.082 Å, c = 5.724 Å, α = 90.00°, β = 107.12° and γ = 90.00°. Symmetry generates all atoms from In at (0.000, 0.000, 0.000), Tc at (0.243, 0.000, 0.805) and Pb at (0.000, 0.500, 0.500).

---

2.
The following is a DFT calculation (GGA-PBE) of an optimized crystal structure of InTc2Pb.

As for the calculated volume: 18.5 Å³ per atom. The formation energy is 0.71 eV/atom. The energy above the most stable polymorph in this dataset is 506 meV per atom.

It has space group I-4m2 (No. 119), with a = 4.097 Å, b = 4.097 Å, c = 8.828 Å, α = 90.00°, β = 90.00° and γ = 90.00°. Symmetry generates all atoms from In at (0.000, 0.000, 0.000), Tc at (0.000, 0.000, 0.500), Tc at (0.000, 0.500, 0.250) and Pb at (0.000, 0.500, 0.750).